(1)
Here is HfZn3Si after structural relaxation from Alexandria via LeMat-Bulk. Energies are from PBE-GGA.

abc: 4.5762 4.5762 4.5762
angles: 90.00 90.00 90.00
Element x y z (fractional)
Zn: 0.5000 0.0000 0.0000
Hf: 0.5000 0.5000 0.5000
Si: 0.0000 0.0000 0.0000
Zn: 0.0000 0.0000 0.5000
Zn: 0.0000 0.5000 0.0000

Results
The density of states at the Fermi level comes out at 2.1 states/eV per cell. Its relative energy among the computed polymorphs is 0.0000 eV per atom. The raw formation energy is 605 meV per atom. Its space group is No. 221.

(2)
Here is Sm3Zn2Ni6 after structural relaxation from Alexandria via LeMat-Bulk. Energies are from PBE-GGA.

abc: 7.7996 7.7996 7.7996
angles: 109.47 109.47 109.47
Element x y z (fractional)
Ni: 0.0000 0.3383 0.6617
Sm: 0.2946 0.2946 0.0000
Ni: 0.6617 0.6617 0.3234
Ni: 0.0000 0.6617 0.3383
Sm: 0.7054 0.7054 0.0000
Sm: 0.0000 0.2946 0.2946
Ni: 0.3383 0.6617 0.0000
Zn: 0.0000 0.0000 0.5000
Ni: 0.6766 0.3383 0.3383
Zn: 0.0000 0.5000 0.0000
Sm: 0.0000 0.7054 0.7054
Ni: 0.6617 0.3234 0.6617
Sm: 0.7054 0.0000 0.7054
Sm: 0.2946 0.0000 0.2946
Ni: 0.3383 0.3383 0.6766
Zn: 0.5000 0.5000 0.5000
Ni: 0.3383 0.6766 0.3383
Ni: 0.3383 0.0000 0.6617
Ni: 0.6617 0.0000 0.3383
Ni: 0.6617 0.3383 0.0000
Ni: 0.3234 0.6617 0.6617
Zn: 0.5000 0.0000 0.0000

Results
The density of states at the Fermi level comes out at 13.3 states/eV per cell. The energy relative to the elements comes out at -4.44 eV/f.u. Its space group is No. 229.

(3)
Here is V2TcAg after structural relaxation from Alexandria via LeMat-Bulk. Energies are from PBE-GGA.

abc: 6.8904 6.8904 5.5738
angles: 51.82 51.82 90.00
Element x y z (fractional)
Ag: 0.7500 0.2500 0.5000
V: 0.5952 0.1250 0.2500
Tc: 0.5000 0.5000 0.0000
V: 0.1548 0.6250 0.2500
Ag: 0.0000 0.0000 0.0000
V: 0.8750 0.8452 0.7500
V: 0.3750 0.4048 0.7500
Tc: 0.2500 0.7500 0.5000

Results
The density of states at the Fermi level comes out at 10.9 states/eV per cell. The energy relative to the elements comes out at 2.61 eV/f.u. Its space group is No. 122.

Repeat the first record exactly.
Here is HfZn3Si after structural relaxation from Alexandria via LeMat-Bulk. Energies are from PBE-GGA.

abc: 4.5762 4.5762 4.5762
angles: 90.00 90.00 90.00
Element x y z (fractional)
Zn: 0.5000 0.0000 0.0000
Hf: 0.5000 0.5000 0.5000
Si: 0.0000 0.0000 0.0000
Zn: 0.0000 0.0000 0.5000
Zn: 0.0000 0.5000 0.0000

Results
The density of states at the Fermi level comes out at 2.1 states/eV per cell. Its relative energy among the computed polymorphs is 0.0000 eV per atom. The raw formation energy is 605 meV per atom. Its space group is No. 221.